(1)
# La2PCl2 PBE relaxed
data_La2PCl2
_chemical_formula_sum 'La6 P3 Cl6'
_cell_length_a 4.2215
_cell_length_b 4.2215
_cell_length_c 37.5094
_cell_angle_alpha 90.00
_cell_angle_beta 90.00
_cell_angle_gamma 120.00
_space_group_name_H-M_alt 'R -3 m'
_space_group_IT_number 166
_space_group_name_Hall '-R 3 2"'
loop_
_atom_site_label
_atom_site_type_symbol
_atom_site_fract_x
_atom_site_fract_y
_atom_site_fract_z
La1 La 0.0000 0.0000 0.1226
P1 P 0.0000 0.0000 0.5000
Cl1 Cl 0.0000 0.0000 0.2553
# formation energy (no corrections): -2.0278 eV/atom
# M_tot: 0.00 μB/atom
# total energy: -5.82 eV/atom

***

(2)
# LiTe PBE relaxed
data_LiTe
_chemical_formula_sum 'Li4 Te4'
_cell_length_a 4.5686
_cell_length_b 4.5686
_cell_length_c 11.4790
_cell_angle_alpha 90.00
_cell_angle_beta 90.00
_cell_angle_gamma 120.00
_space_group_name_H-M_alt 'P 63/m m c'
_space_group_IT_number 194
_space_group_name_Hall '-P 6c 2c'
loop_
_atom_site_label
_atom_site_type_symbol
_atom_site_fract_x
_atom_site_fract_y
_atom_site_fract_z
Li1 Li 0.0000 0.0000 0.2500
Li2 Li 0.3333 0.6667 0.2500
Te1 Te 0.3333 0.6667 0.6231
# formation energy (no corrections): -0.5327 eV/atom
# M_tot: 0.00 μB/atom
# total energy: -3.06 eV/atom
# distance to the lowest polymorph of the same formula: 189 meV per atom

***

(3)
# NaNdHgPb PBE relaxed
data_NaNdHgPb
_chemical_formula_sum 'Na4 Nd4 Hg4 Pb4'
_cell_length_a 7.651
_cell_length_b 7.651
_cell_length_c 7.651
_cell_angle_alpha 90.00
_cell_angle_beta 90.00
_cell_angle_gamma 90.00
_space_group_name_H-M_alt 'F -4 3 m'
_space_group_IT_number 216
_space_group_name_Hall 'F -4 2 3'
loop_
_atom_site_label
_atom_site_type_symbol
_atom_site_fract_x
_atom_site_fract_y
_atom_site_fract_z
Na1 Na 0.000 0.000 0.000
Nd1 Nd 0.000 0.000 0.500
Hg1 Hg 0.250 0.250 0.250
Pb1 Pb 0.250 0.250 0.750
# energy of formation from the pure elements: -398 meV per atom
# M_tot: 0.00 μB/atom
# total energy: -2.92 eV/atom

***

(4)
# RbBrF5 PBE relaxed
data_RbBrF5
_chemical_formula_sum 'Rb4 Br4 F20'
_cell_length_a 11.179
_cell_length_b 7.090
_cell_length_c 9.285
_cell_angle_alpha 90.00
_cell_angle_beta 125.25
_cell_angle_gamma 90.00
_space_group_name_H-M_alt 'C 1 2/c 1'
_space_group_IT_number 15
loop_
_space_group_symop_operation_xyz
'x,y,z'
'-x,-y,-z'
'-x,y,-z+1/2'
'x,-y,z+1/2'
'x+1/2,y+1/2,z'
'-x+1/2,-y+1/2,-z'
'-x+1/2,y+1/2,-z+1/2'
'x+1/2,-y+1/2,z+1/2'
loop_
_atom_site_label
_atom_site_type_symbol
_atom_site_fract_x
_atom_site_fract_y
_atom_site_fract_z
Rb1 Rb 0.000 0.034 0.250
Br1 Br 0.000 0.500 0.000
F1 F 0.000 0.471 0.250
F2 F 0.014 0.233 0.990
F3 F 0.206 0.481 0.643
# formation energy (no corrections): -1.5195 eV/atom
# M_tot: 0.02 μB/atom
# total energy: -3.23 eV/atom

***

(5)
# Nd2Y3Ag2 PBE relaxed
data_Nd2Y3Ag2
_chemical_formula_sum 'Nd4 Y6 Ag4'
_cell_length_a 9.439
_cell_length_b 5.451
_cell_length_c 8.446
_cell_angle_alpha 90.00
_cell_angle_beta 111.89
_cell_angle_gamma 90.00
_space_group_name_H-M_alt 'C 1 2/m 1'
_space_group_IT_number 12
loop_
_space_group_symop_operation_xyz
'x,y,z'
'-x,-y,-z'
'-x,y,-z'
'x,-y,z'
'x+1/2,y+1/2,z'
'-x+1/2,-y+1/2,-z'
'-x+1/2,y+1/2,-z'
'x+1/2,-y+1/2,z'
loop_
_atom_site_label
_atom_site_type_symbol
_atom_site_fract_x
_atom_site_fract_y
_atom_site_fract_z
Nd1 Nd 0.076 0.000 0.228
Y1 Y 0.000 0.500 0.500
Y2 Y 0.162 0.500 0.985
Ag1 Ag 0.212 0.000 0.637
# energy of formation from the pure elements: -96 meV per atom
# M_tot: 0.00 μB/atom
# total energy: -5.04 eV/atom

***

(6)
# AcTb2Pm6Ho PBE relaxed
data_AcTb2Pm6Ho
_chemical_formula_sum 'Ac4 Tb8 Pm24 Ho4'
_cell_length_a 9.354
_cell_length_b 15.493
_cell_length_c 9.720
_cell_angle_alpha 90.00
_cell_angle_beta 95.78
_cell_angle_gamma 90.00
_space_group_name_H-M_alt 'C 1 2/c 1'
_space_group_IT_number 15
loop_
_space_group_symop_operation_xyz
'x,y,z'
'-x,-y,-z'
'-x,y,-z+1/2'
'x,-y,z+1/2'
'x+1/2,y+1/2,z'
'-x+1/2,-y+1/2,-z'
'-x+1/2,y+1/2,-z+1/2'
'x+1/2,-y+1/2,z+1/2'
loop_
_atom_site_label
_atom_site_type_symbol
_atom_site_fract_x
_atom_site_fract_y
_atom_site_fract_z
Ac1 Ac 0.000 0.026 0.250
Tb1 Tb 0.241 0.444 0.453
Pm1 Pm 0.060 0.187 0.945
Pm2 Pm 0.102 0.391 0.118
Pm3 Pm 0.215 0.227 0.315
Ho1 Ho 0.000 0.412 0.750
# energy of formation from the pure elements: 121 meV per atom
# M_tot: 0.00 μB/atom
# total energy: -4.52 eV/atom

***

(7)
# ZrScCu PBE relaxed
data_ZrScCu
_chemical_formula_sum 'Zr4 Sc4 Cu4'
_cell_length_a 4.560
_cell_length_b 11.243
_cell_length_c 4.564
_cell_angle_alpha 90.00
_cell_angle_beta 90.00
_cell_angle_gamma 90.00
_space_group_name_H-M_alt 'C m c m'
_space_group_IT_number 63
_space_group_name_Hall '-C 2c 2'
loop_
_atom_site_label
_atom_site_type_symbol
_atom_site_fract_x
_atom_site_fract_y
_atom_site_fract_z
Zr1 Zr 0.000 0.093 0.250
Sc1 Sc 0.000 0.399 0.250
Cu1 Cu 0.000 0.249 0.750
# energy of formation from the pure elements: -130 meV per atom
# M_tot: 0.00 μB/atom
# total energy: -6.46 eV/atom
# distance to the lowest polymorph of the same formula: 22 meV per atom

***

(8)
# La4S2Br3 PBE relaxed
data_La4S2Br3
_chemical_formula_sum 'La8 S4 Br6'
_cell_length_a 7.285
_cell_length_b 4.206
_cell_length_c 17.919
_cell_angle_alpha 90.00
_cell_angle_beta 90.08
_cell_angle_gamma 90.00
_space_group_name_H-M_alt 'C 1 2/m 1'
_space_group_IT_number 12
loop_
_space_group_symop_operation_xyz
'x,y,z'
'-x,-y,-z'
'-x,y,-z'
'x,-y,z'
'x+1/2,y+1/2,z'
'-x+1/2,-y+1/2,-z'
'-x+1/2,y+1/2,-z'
'x+1/2,-y+1/2,z'
loop_
_atom_site_label
_atom_site_type_symbol
_atom_site_fract_x
_atom_site_fract_y
_atom_site_fract_z
La1 La 0.001 0.000 0.287
La2 La 0.166 0.500 0.885
S1 S 0.167 0.500 0.201
Br1 Br 0.000 0.000 0.000
Br2 Br 0.165 0.500 0.607
# formation energy (no corrections): -1.8969 eV/atom
# M_tot: 0.00 μB/atom
# total energy: -5.56 eV/atom

***

(9)
# NbBrF2 PBE relaxed
data_NbBrF2
_chemical_formula_sum 'Nb3 Br3 F6'
_cell_length_a 2.9042
_cell_length_b 2.9042
_cell_length_c 30.8565
_cell_angle_alpha 90.00
_cell_angle_beta 90.00
_cell_angle_gamma 120.00
_space_group_name_H-M_alt 'R -3 m'
_space_group_IT_number 166
_space_group_name_Hall '-R 3 2"'
loop_
_atom_site_label
_atom_site_type_symbol
_atom_site_fract_x
_atom_site_fract_y
_atom_site_fract_z
Nb1 Nb 0.0000 0.0000 0.0000
Br1 Br 0.0000 0.0000 0.5000
F1 F 0.0000 0.0000 0.3815
# formation energy (no corrections): -1.5124 eV/atom
# M_tot: 0.00 μB/atom
# total energy: -5.38 eV/atom
# distance to the lowest polymorph of the same formula: 0 meV per atom

***

(10)
# Pr2BiI PBE relaxed
data_Pr2BiI
_chemical_formula_sum 'Pr6 Bi3 I3'
_cell_length_a 4.4613
_cell_length_b 4.4613
_cell_length_c 24.5387
_cell_angle_alpha 90.00
_cell_angle_beta 90.00
_cell_angle_gamma 120.00
_space_group_name_H-M_alt 'R 3 m'
_space_group_IT_number 160
_space_group_name_Hall 'R 3 -2"'
loop_
_atom_site_label
_atom_site_type_symbol
_atom_site_fract_x
_atom_site_fract_y
_atom_site_fract_z
Pr1 Pr 0.0000 0.0000 0.0000
Pr2 Pr 0.0000 0.0000 0.1833
Bi1 Bi 0.0000 0.0000 0.5926
I1 I 0.0000 0.0000 0.4244
# formation energy (no corrections): -0.9153 eV/atom
# M_tot: 0.00 μB/atom
# total energy: -4.66 eV/atom
# distance to the lowest polymorph of the same formula: 7 meV per atom

***

(11)
# Fe2MoIr PBE relaxed
data_Fe2MoIr
_chemical_formula_sum 'Fe2 Mo1 Ir1'
_cell_length_a 2.867
_cell_length_b 2.867
_cell_length_c 6.538
_cell_angle_alpha 90.00
_cell_angle_beta 90.00
_cell_angle_gamma 90.00
_space_group_name_H-M_alt 'P 4 m m'
_space_group_IT_number 99
loop_
_space_group_symop_operation_xyz
'x,y,z'
'-y,x,z'
'-x,-y,z'
'y,-x,z'
'-x,y,z'
'y,x,z'
'x,-y,z'
'-y,-x,z'
loop_
_atom_site_label
_atom_site_type_symbol
_atom_site_fract_x
_atom_site_fract_y
_atom_site_fract_z
Fe1 Fe 0.000 0.000 0.000
Fe2 Fe 0.500 0.500 0.207
Mo1 Mo 0.500 0.500 0.746
Ir1 Ir 0.000 0.000 0.461
# energy of formation from the pure elements: -28 meV per atom
# M_tot: 1.27 μB/atom
# total energy: -9.18 eV/atom

***

(12)
# EuMnH3 PBE relaxed
data_EuMnH3
_chemical_formula_sum 'Eu1 Mn1 H3'
_cell_length_a 3.603
_cell_length_b 3.603
_cell_length_c 3.603
_cell_angle_alpha 90.00
_cell_angle_beta 90.00
_cell_angle_gamma 90.00
_space_group_name_H-M_alt 'P m -3 m'
_space_group_IT_number 221
_space_group_name_Hall '-P 4 2 3'
loop_
_atom_site_label
_atom_site_type_symbol
_atom_site_fract_x
_atom_site_fract_y
_atom_site_fract_z
Eu1 Eu 0.000 0.000 0.000
Mn1 Mn 0.500 0.500 0.500
H1 H 0.000 0.500 0.500
# M_tot: 1.40 μB/atom
# total energy: -6.11 eV/atom